1.
{
  "formula": "MgInTc2",
  "functional": "PBE",
  "state": "relaxed",
  "formation_energy_ev_per_atom": 0.025,
  "sg": "P4mm (99)",
  "lattice": [[-0.0338, 2.4479, -1.7962], [-1.4710, -1.5846, -2.1319], [-6.7337, 2.1460, 3.0513]],
  "species": ["In", "Tc", "Mg", "Tc"],
  "frac_coords": [[0.0000, 0.0000, 0.4748], [0.5000, 0.5000, 0.2116], [0.5000, 0.5000, 0.7863], [0.0000, 0.0000, 0.0272]]
}

2.
{
  "formula": "MgInTcTe2",
  "functional": "PBE",
  "state": "relaxed",
  "raw_formation_energy_ev_per_atom": 0.3276,
  "sg": "P4/mmm (123)",
  "lattice": [[-3.5165, -1.0049, 3.7879], [-3.7278, -0.5713, -3.6122], [1.1095, -5.1364, -0.3327]],
  "species": ["Tc", "Te", "In", "Mg", "Te"],
  "frac_coords": [[0.0000, 0.0000, 0.0000], [0.5000, 0.0000, 0.0000], [0.0000, 0.5000, 0.0000], [0.5000, 0.5000, 0.5000], [0.0000, 0.0000, 0.5000]]
}

3.
{
  "formula": "MgInTcW2",
  "functional": "PBE",
  "state": "relaxed",
  "formation_energy_ev_per_atom": 1.403,
  "sg": "P4/mmm (123)",
  "lattice": [[4.7337, 0.0000, 0.0000], [0.0000, 4.9284, 0.0000], [0.0000, 0.0000, 4.7337]],
  "species": ["W", "Tc", "W", "In", "Mg"],
  "frac_coords": [[0.5000, 0.0000, 0.0000], [0.0000, 0.0000, 0.0000], [0.0000, 0.0000, 0.5000], [0.5000, 0.5000, 0.5000], [0.0000, 0.5000, 0.0000]]
}

4.
{
  "formula": "MgIn2Te",
  "functional": "PBE",
  "state": "relaxed",
  "raw_formation_energy_ev_per_atom": -0.0907,
  "sg": "Pmmm (47)",
  "lattice": [[4.1957, 0.0000, 0.0000], [0.0000, 3.1659, -0.2743], [0.0000, 0.7111, 8.1745]],
  "species": ["In", "Te", "Mg", "In"],
  "frac_coords": [[0.0000, 0.7492, 0.4675], [0.5000, 0.7500, 0.7500], [0.5000, 0.2500, 0.2500], [0.0000, 0.7508, 0.0325]]
}

5.
{
  "formula": "MgIn3Te4",
  "functional": "PBE",
  "state": "relaxed",
  "raw_formation_energy_ev_per_atom": -0.3009,
  "sg": "I-42m (121)",
  "lattice": [[-4.8424, 5.1821, -0.6847], [-4.3015, -4.4809, -3.4915], [1.8839, -2.1242, 7.6759]],
  "species": ["Te", "Te", "In", "Mg", "In", "In", "Te", "Te"],
  "frac_coords": [[0.9049, 0.9049, 0.2616], [0.0951, 0.6433, 0.7384], [0.2500, 0.7500, 0.5000], [0.0000, 0.0000, 0.0000], [0.7500, 0.2500, 0.5000], [0.5000, 0.5000, 0.0000], [0.3567, 0.3567, 0.2616], [0.6433, 0.0951, 0.7384]]
}

6.
{
  "formula": "MgIn2Te",
  "functional": "PBE",
  "state": "relaxed",
  "raw_formation_energy_ev_per_atom": 0.0271,
  "sg": "Fm-3m (225)",
  "lattice": [[-0.9293, 1.5008, 5.1317], [-4.7591, 2.2276, 1.3562], [-3.5285, -2.7812, 3.0439]],
  "species": ["In", "In", "Mg", "Te"],
  "frac_coords": [[0.7500, 0.7500, 0.7500], [0.2500, 0.2500, 0.2500], [0.0000, 0.0000, 0.0000], [0.5000, 0.5000, 0.5000]]
}

DOS at the Fermi energy across the listed records, respectively: 3.2; 5.7; 5.0; 2.0; 6.5; 2.7 states/eV/f.u..